(1)
AlSi2Rh | GGA-PBEsol | relaxed

* ρ: 5.69 g cm⁻³
* Fermi-level density of states: 0.472 states/eV/atom
* energy relative to the elements, uncorrected: -0.30 eV per atom
* raw total energy: -6.227 eV per atom
* M_tot: 0.00 μB per formula unit

a = 8.6066 Å, b = 2.8915 Å, c = 4.3934 Å
α = 90.00°, β = 96.91°, γ = 90.00°
Positions (direct):
Al1 0.0000 0.0000 0.0000
Al2 0.5000 0.5000 0.0000
Si1 0.2407 0.0000 0.7408
Si2 0.4825 0.0000 0.4949
Si3 0.7407 0.5000 0.7408
Si4 0.9825 0.5000 0.4949
Rh1 0.2455 0.5000 0.2522
Rh2 0.7455 0.0000 0.2522

=====

(2)
Al2SiRh | GGA-PBEsol | relaxed

* ρ: 5.50 g cm⁻³
* Fermi-level density of states: 0.283 states/eV/atom
* energy relative to the elements, uncorrected: -0.40 eV per atom
* raw total energy: -5.917 eV per atom
* M_tot: 0.00 μB per formula unit

a = 8.5258 Å, b = 2.9321 Å, c = 4.5084 Å
α = 90.00°, β = 97.70°, γ = 90.00°
Positions (direct):
Al1 0.2430 0.0000 0.2437
Al2 0.2570 0.5000 0.7563
Al3 0.7430 0.5000 0.2437
Al4 0.7570 0.0000 0.7563
Si1 0.0000 0.0000 0.5000
Si2 0.5000 0.5000 0.5000
Rh1 0.0000 0.5000 0.0000
Rh2 0.5000 0.0000 0.0000

=====

(3)
AlSiRh | GGA-PBEsol | relaxed

* ρ: 5.65 g cm⁻³
* Fermi-level density of states: 0.507 states/eV/atom
* energy relative to the elements, uncorrected: -0.63 eV per atom
* raw total energy: -6.626 eV per atom
* M_tot: 0.00 μB per formula unit

a = 5.7044 Å, b = 5.7044 Å, c = 5.7044 Å
α = 90.00°, β = 90.00°, γ = 90.00°
Positions (direct):
Al1 0.0000 0.0000 0.0000
Al2 0.0000 0.5000 0.5000
Al3 0.5000 0.0000 0.5000
Al4 0.5000 0.5000 0.0000
Si1 0.0000 0.0000 0.5000
Si2 0.0000 0.5000 0.0000
Si3 0.5000 0.0000 0.0000
Si4 0.5000 0.5000 0.5000
Rh1 0.2500 0.2500 0.7500
Rh2 0.2500 0.7500 0.2500
Rh3 0.7500 0.2500 0.2500
Rh4 0.7500 0.7500 0.7500

=====

(4)
AlSi2Rh | GGA-PBEsol | relaxed

* ρ: 5.58 g cm⁻³
* Fermi-level density of states: 0.337 states/eV/atom
* energy relative to the elements, uncorrected: -0.31 eV per atom
* raw total energy: -6.243 eV per atom
* M_tot: 0.00 μB per formula unit

a = 2.7999 Å, b = 2.7999 Å, c = 7.0667 Å
α = 90.00°, β = 90.00°, γ = 90.00°
Positions (direct):
Al1 0.0000 0.0000 0.0000
Si1 0.5000 0.5000 0.2742
Si2 0.5000 0.5000 0.7258
Rh1 0.0000 0.0000 0.5000

=====

(5)
Al2SiRh | GGA-PBEsol | relaxed

* ρ: 5.51 g cm⁻³
* Fermi-level density of states: 0.394 states/eV/atom
* energy relative to the elements, uncorrected: -0.45 eV per atom
* raw total energy: -5.964 eV per atom
* M_tot: 0.00 μB per formula unit

a = 3.2672 Å, b = 3.2672 Å, c = 5.2227 Å
α = 90.00°, β = 90.00°, γ = 90.00°
Positions (direct):
Al1 0.0000 0.0000 0.2492
Al2 0.0000 0.0000 0.7508
Si1 0.5000 0.5000 0.5000
Rh1 0.5000 0.5000 0.0000

=====

(6)
Al2SiRh | GGA-PBEsol | relaxed

* ρ: 5.54 g cm⁻³
* Fermi-level density of states: 0.492 states/eV/atom
* energy relative to the elements, uncorrected: -0.39 eV per atom
* raw total energy: -5.910 eV per atom
* M_tot: 0.00 μB per formula unit

a = 3.8239 Å, b = 3.8239 Å, c = 7.5773 Å
α = 90.00°, β = 90.00°, γ = 90.00°
Positions (direct):
Al1 0.0000 0.5000 0.2500
Al2 0.0000 0.5000 0.7500
Al3 0.5000 0.0000 0.2500
Al4 0.5000 0.0000 0.7500
Si1 0.0000 0.0000 0.0000
Si2 0.5000 0.5000 0.5000
Rh1 0.0000 0.0000 0.5000
Rh2 0.5000 0.5000 0.0000

=====

(7)
Sm2Al9Rh3 | GGA-PBEsol | relaxed

* ρ: 6.08 g cm⁻³
* Fermi-level density of states: 0.396 states/eV/atom
* raw total energy: -5.930 eV per atom
* M_tot: 0.00 μB per formula unit
* calculated formation energy: -829 meV per atom

a = 7.5149 Å, b = 7.5149 Å, c = 9.4576 Å
α = 90.00°, β = 90.00°, γ = 60.70°
Positions (direct):
Sm1 0.0054 0.6719 0.7500
Sm2 0.3281 0.9946 0.7500
Sm3 0.6719 0.0054 0.2500
Sm4 0.9946 0.3281 0.2500
Al1 0.0012 0.6642 0.0743
Al2 0.0012 0.6642 0.4257
Al3 0.1291 0.8709 0.2500
Al4 0.3330 0.6670 0.5474
Al5 0.3330 0.6670 0.9526
Al6 0.3358 0.9988 0.0743
Al7 0.3358 0.9988 0.4257
Al8 0.3403 0.4495 0.2500
Al9 0.4495 0.3403 0.7500
Al10 0.5505 0.6597 0.2500
Al11 0.6597 0.5505 0.7500
Al12 0.6642 0.0012 0.5743
Al13 0.6642 0.0012 0.9257
Al14 0.6670 0.3330 0.0474
Al15 0.6670 0.3330 0.4526
Al16 0.8709 0.1291 0.7500
Al17 0.9988 0.3358 0.5743
Al18 0.9988 0.3358 0.9257
Rh1 0.0000 0.0000 0.0000
Rh2 0.0000 0.0000 0.5000
Rh3 0.3285 0.3285 0.0000
Rh4 0.3285 0.3285 0.5000
Rh5 0.6715 0.6715 0.0000
Rh6 0.6715 0.6715 0.5000

=====

(8)
SrAl2Rh | GGA-PBEsol | relaxed

* ρ: 4.47 g cm⁻³
* Fermi-level density of states: 0.555 states/eV/atom
* raw total energy: -5.083 eV per atom
* M_tot: 0.00 μB per formula unit
* calculated formation energy: -543 meV per atom

a = 4.3330 Å, b = 4.3330 Å, c = 16.7758 Å
α = 90.00°, β = 90.00°, γ = 120.00°
Positions (direct):
Sr1 0.0000 0.0000 0.0000
Sr2 0.3333 0.6667 0.6667
Sr3 0.6667 0.3333 0.3333
Al1 0.0000 0.0000 0.5257
Al2 0.0000 0.0000 0.8093
Al3 0.3333 0.6667 0.1923
Al4 0.3333 0.6667 0.4760
Al5 0.6667 0.3333 0.1426
Al6 0.6667 0.3333 0.8590
Rh1 0.0000 0.0000 0.1816
Rh2 0.3333 0.6667 0.8482
Rh3 0.6667 0.3333 0.5149

=====

Number 8 is which compound?
SrAl2Rh

=====

What did the second record say?
Al2SiRh | GGA-PBEsol | relaxed

* ρ: 5.50 g cm⁻³
* Fermi-level density of states: 0.283 states/eV/atom
* energy relative to the elements, uncorrected: -0.40 eV per atom
* raw total energy: -5.917 eV per atom
* M_tot: 0.00 μB per formula unit

a = 8.5258 Å, b = 2.9321 Å, c = 4.5084 Å
α = 90.00°, β = 97.70°, γ = 90.00°
Positions (direct):
Al1 0.2430 0.0000 0.2437
Al2 0.2570 0.5000 0.7563
Al3 0.7430 0.5000 0.2437
Al4 0.7570 0.0000 0.7563
Si1 0.0000 0.0000 0.5000
Si2 0.5000 0.5000 0.5000
Rh1 0.0000 0.5000 0.0000
Rh2 0.5000 0.0000 0.0000